Record 1
LiCaTl2: relaxed, PBE.

The structure in extended XYZ format:
```
8
Lattice="-0.796 -3.006 -3.606 4.550 -1.395 0.159 -0.656 -9.685 5.074" Properties=species:S:1:pos:R:3 pbc="T T T"
Ca 0.000 0.000 0.000
Ca 0.213 -7.445 -0.128
Tl 2.621 -11.062 0.783
Tl -0.063 -4.361 -0.830
Li 1.877 -2.201 -1.724
Tl 1.087 -8.966 2.518
Li 2.885 -6.640 1.754
Tl 2.550 -3.782 0.781
```

Summary:
formation enthalpy at 0 K: -51 meV per atom
mass density: 6.4 g/cm³
volume: 29.5 A^3/atom
Fermi-level density of states: 0.647 states/eV/atom

Record 2
Ba2TmPaP4: relaxed, PBE.

The structure in extended XYZ format:
```
8
Lattice="4.238 0.000 0.000 0.000 7.215 0.104 0.000 -2.548 7.251" Properties=species:S:1:pos:R:3 pbc="T T T"
Ba 0.000 2.334 3.678
P 2.119 1.129 1.468
Pa 0.000 0.000 0.000
Ba 2.119 -1.274 3.626
P 0.000 4.847 1.536
Tm 2.119 3.608 0.052
P 2.119 3.538 5.887
P 0.000 -0.179 5.819
```

Summary:
formation enthalpy at 0 K: -1229 meV per atom
mass density: 6.0 g/cm³
volume: 27.9 A^3/atom
Fermi-level density of states: 0.018 states/eV/atom

Record 3
CaCeY2Tl4: relaxed, PBE.

The structure in extended XYZ format:
```
8
Lattice="5.423 0.000 0.000 2.712 4.697 0.000 2.712 1.566 8.980" Properties=species:S:1:pos:R:3 pbc="T T T"
Tl 5.423 3.131 1.126
Y 8.135 4.697 6.806
Tl 5.423 3.131 7.854
Ca 0.000 0.000 0.000
Ce 5.423 3.131 4.490
Y 2.712 1.566 2.174
Tl 2.712 1.566 5.610
Tl 8.135 4.697 3.370
```

Summary:
formation enthalpy at 0 K: -345 meV per atom
mass density: 8.5 g/cm³
volume: 28.6 A^3/atom
Fermi-level density of states: 1.348 states/eV/atom

Record 4
PPtI2O: relaxed, PBE.

The structure in extended XYZ format:
```
5
Lattice="-1.908 -1.963 4.780 5.167 -0.654 1.794 -0.045 3.200 1.296" Properties=species:S:1:pos:R:3 pbc="T T T"
O -0.023 1.600 0.648
I 2.583 -0.327 0.897
Pt 1.607 0.291 3.935
I -0.954 -0.982 2.390
P 0.000 0.000 0.000
```

Summary:
ΔE to the lowest computed polymorph: 0 meV per atom
mass density: 7.9 g/cm³
volume: 21.0 A^3/atom
Fermi-level density of states: 0.981 states/eV/atom

Record 5
ZrScTl2: relaxed, PBE.

The structure in extended XYZ format:
```
4
Lattice="-0.984 -3.981 -1.621 -1.463 -3.175 2.688 -6.830 -0.481 -0.669" Properties=species:S:1:pos:R:3 pbc="T T T"
Tl -5.336 -0.954 -0.414
Sc -8.329 -5.294 0.065
Zr -4.806 -3.766 0.170
Tl -2.275 -1.923 0.107
```

Summary:
formation enthalpy at 0 K: 181 meV per atom
mass density: 8.4 g/cm³
volume: 26.9 A^3/atom
Fermi-level density of states: 0.869 states/eV/atom

Record 6
Zr2NbIn: relaxed, PBE.

The structure in extended XYZ format:
```
4
Lattice="3.570 0.000 0.000 0.000 3.570 0.000 0.000 0.000 6.751" Properties=species:S:1:pos:R:3 pbc="T T T"
Nb 1.785 1.785 0.000
Zr 0.000 0.000 5.187
Zr 0.000 0.000 1.564
In 1.785 1.785 3.375
```

Summary:
formation enthalpy at 0 K: -172 meV per atom
mass density: 7.5 g/cm³
volume: 21.5 A^3/atom
Fermi-level density of states: 1.148 states/eV/atom

Record 7
Sr2SeCl: relaxed, PBE.

The structure in extended XYZ format:
```
4
Lattice="9.979 0.234 0.141 8.937 4.445 0.141 8.937 2.211 3.859" Properties=species:S:1:pos:R:3 pbc="T T T"
Se 21.253 5.258 3.159
Cl 15.243 3.771 2.266
Sr 0.764 0.189 0.114
Sr 4.521 1.119 0.672
```

Summary:
ΔE to the lowest computed polymorph: 74 meV per atom
mass density: 3.1 g/cm³
volume: 39.4 A^3/atom
Fermi-level density of states: 0.352 states/eV/atom

Record 8
TiNbFeRe: relaxed, PBE.

The structure in extended XYZ format:
```
4
Lattice="-0.524 -1.752 2.524 2.790 -1.343 -0.353 2.534 4.334 3.535" Properties=species:S:1:pos:R:3 pbc="T T T"
Nb 0.886 1.516 1.236
Ti 2.186 3.738 3.049
Re 2.684 1.103 3.247
Fe 1.397 -1.097 1.453
```

Summary:
formation enthalpy at 0 K: -285 meV per atom
ΔE to the lowest computed polymorph: 2 meV per atom
mass density: 10.7 g/cm³
volume: 14.9 A^3/atom
Fermi-level density of states: 0.502 states/eV/atom